1.
A plane-wave DFT calculation with GGA-PBE was carried out for a geometry-optimized MgPt structure. Values from VASP.

Values from the calculation:
ΔH_f (0 K): -324.3 meV per atom
calculated density: 10.566 g/cm3
Fermi-level density of states: 0.4668 states/eV/atom
spin magnetization: 0.0 μB/cell
E: -16.57 eV per cell

Quantum ESPRESSO input file:
```
&SYSTEM
  ibrav = 0, nat = 4, ntyp = 2
/
ATOMIC_SPECIES
Mg 24.30 Mg.upf
Pt 195.08 Pt.upf
ATOMIC_POSITIONS crystal
Mg 0.333 0.667 0.351
Mg 0.667 0.333 0.649
Pt 0.333 0.667 0.872
Pt 0.667 0.333 0.128
CELL_PARAMETERS angstrom
2.949 0.000 0.000
-1.475 2.554 0.000
0.000 0.000 9.156
```

***

2.
A plane-wave DFT calculation with GGA-PBE was carried out for a geometry-optimized MgPt structure. Values from VASP.

Values from the calculation:
ΔH_f (0 K): -627.9 meV per atom
calculated density: 9.923 g/cm3
Fermi-level density of states: 0.5049 states/eV/atom
spin magnetization: 0.0 μB/cell
E: -35.56 eV per cell

Quantum ESPRESSO input file:
```
&SYSTEM
  ibrav = 0, nat = 8, ntyp = 2
/
ATOMIC_SPECIES
Mg 24.30 Mg.upf
Pt 195.08 Pt.upf
ATOMIC_POSITIONS crystal
Mg 0.000 0.273 0.273
Mg 0.000 0.727 0.727
Mg 0.273 0.000 0.273
Mg 0.727 0.000 0.727
Pt 0.330 0.330 0.659
Pt 0.330 0.670 0.000
Pt 0.670 0.330 0.000
Pt 0.670 0.670 0.341
CELL_PARAMETERS angstrom
-4.085 4.085 2.201
4.085 -4.085 2.201
4.085 4.085 -2.201
```

***

3.
A plane-wave DFT calculation with GGA-PBE was carried out for a geometry-optimized Mg3Pt structure. Values from VASP.

Values from the calculation:
ΔH_f (0 K): -504.3 meV per atom
calculated density: 6.175 g/cm3
Fermi-level density of states: 0.4089 states/eV/atom
spin magnetization: 0.0 μB/cell
E: -77.05 eV per cell

Quantum ESPRESSO input file:
```
&SYSTEM
  ibrav = 0, nat = 24, ntyp = 2
/
ATOMIC_SPECIES
Mg 24.30 Mg.upf
Pt 195.08 Pt.upf
ATOMIC_POSITIONS crystal
Mg 0.015 0.508 0.250
Mg 0.166 0.332 0.584
Mg 0.166 0.332 0.916
Mg 0.166 0.834 0.584
Mg 0.166 0.834 0.916
Mg 0.332 0.166 0.084
Mg 0.332 0.166 0.416
Mg 0.492 0.508 0.250
Mg 0.492 0.985 0.250
Mg 0.508 0.015 0.750
Mg 0.508 0.492 0.750
Mg 0.668 0.834 0.584
Mg 0.668 0.834 0.916
Mg 0.834 0.166 0.084
Mg 0.834 0.166 0.416
Mg 0.834 0.668 0.084
Mg 0.834 0.668 0.416
Mg 0.985 0.492 0.750
Pt 0.000 0.000 0.250
Pt 0.000 0.000 0.750
Pt 0.333 0.667 0.083
Pt 0.333 0.667 0.417
Pt 0.667 0.333 0.583
Pt 0.667 0.333 0.917
CELL_PARAMETERS angstrom
5.924 0.000 0.000
-2.962 5.131 0.000
0.000 0.000 14.227
```

***

4.
A plane-wave DFT calculation with GGA-PBE was carried out for a geometry-optimized Mg7Pt structure. Values from VASP.

Values from the calculation:
ΔH_f (0 K): -183.4 meV per atom
calculated density: 3.768 g/cm3
Fermi-level density of states: 0.3470 states/eV/atom
spin magnetization: 0.0 μB/cell
E: -18.67 eV per cell

Quantum ESPRESSO input file:
```
&SYSTEM
  ibrav = 0, nat = 8, ntyp = 2
/
ATOMIC_SPECIES
Mg 24.30 Mg.upf
Pt 195.08 Pt.upf
ATOMIC_POSITIONS crystal
Mg 0.000 0.000 0.000
Mg 0.000 0.000 0.500
Mg 0.000 0.500 0.000
Mg 0.000 0.500 0.500
Mg 0.500 0.000 0.000
Mg 0.500 0.000 0.500
Mg 0.500 0.500 0.000
Pt 0.500 0.500 0.500
CELL_PARAMETERS angstrom
0.000 4.317 4.317
4.317 0.000 4.317
4.317 4.317 0.000
```

***

5.
A plane-wave DFT calculation with GGA-PBE was carried out for a geometry-optimized Mg6Pt5 structure. Values from VASP.

Values from the calculation:
ΔH_f (0 K): -801.2 meV per atom
calculated density: 9.870 g/cm3
Fermi-level density of states: 0.3467 states/eV/atom
spin magnetization: 0.0 μB/cell
E: -48.58 eV per cell

Quantum ESPRESSO input file:
```
&SYSTEM
  ibrav = 0, nat = 11, ntyp = 2
/
ATOMIC_SPECIES
Mg 24.30 Mg.upf
Pt 195.08 Pt.upf
ATOMIC_POSITIONS crystal
Mg 0.000 0.000 0.243
Mg 0.000 0.000 0.757
Mg 0.335 0.665 0.249
Mg 0.335 0.665 0.751
Mg 0.665 0.335 0.249
Mg 0.665 0.335 0.751
Pt 0.164 0.836 0.500
Pt 0.168 0.832 0.000
Pt 0.500 0.500 0.500
Pt 0.832 0.168 0.000
Pt 0.836 0.164 0.500
CELL_PARAMETERS angstrom
2.281 -6.842 0.000
2.281 6.842 0.000
0.000 0.000 6.043
```

***

6.
A plane-wave DFT calculation with GGA-PBE was carried out for a geometry-optimized Mg3Pt structure. Values from VASP.

Values from the calculation:
ΔH_f (0 K): -277.0 meV per atom
calculated density: 5.710 g/cm3
Fermi-level density of states: 0.4863 states/eV/atom
spin magnetization: 0.0 μB/cell
E: -11.93 eV per cell

Quantum ESPRESSO input file:
```
&SYSTEM
  ibrav = 0, nat = 4, ntyp = 2
/
ATOMIC_SPECIES
Mg 24.30 Mg.upf
Pt 195.08 Pt.upf
ATOMIC_POSITIONS crystal
Mg 0.000 0.000 0.000
Mg 0.239 0.239 0.239
Mg 0.761 0.761 0.761
Pt 0.500 0.500 0.500
CELL_PARAMETERS angstrom
1.531 0.884 9.596
-1.531 0.884 9.596
0.000 -1.768 9.596
```